LiTm4Al2: relaxed, GGA-PBE.

Properties
Relative energy among the computed polymorphs = 0 meV per atom
DOS(E_F) = 8.489 states/eV/f.u.
Total magnetic moment = 0.0 μB/f.u.

a = 5.0523 Å, b = 5.0523 Å, c = 24.2642 Å
α = 90.00°, β = 90.00°, γ = 120.00°
Space group R-3m (No. 166, hexagonal axes)
Inequivalent atoms, fractional coordinates:
Li 0.0000 0.0000 0.0000 x3
Tm 0.0000 0.0000 0.1296 x6
Tm 0.0000 0.0000 0.3823 x6
Al 0.0000 0.0000 0.2550 x6